No. 1
First-principles (PBE-GGA) data for a geometry-optimized Co2Cl structure, as listed in Alexandria.

Values from the calculation:
Total magnetic moment   7.850 μB per cell
Calculated total energy   -30.051 eV for the cell shown
Polymorph energy (0 for the lowest one)   131 kJ/mol of formula units
Raw formation energy   344 meV per atom
Calculated density   5.61 Mg/m³

a = 3.1800 Å, b = 3.1800 Å, c = 10.3568 Å
α = 90.00°, β = 90.00°, γ = 120.00°
Space group P6_3/mmc (No. 194)
Inequivalent atoms, fractional coordinates:
Co 0.3333 0.6667 0.0636
Cl 0.0000 0.0000 0.2500



No. 2
First-principles (PBE-GGA) data for a geometry-optimized LaSm2Sb2 structure, as listed in Alexandria.

Values from the calculation:
Total magnetic moment   0.000 μB per cell
Calculated total energy   -104.919 eV for the cell shown
Raw formation energy   -724 meV per atom
Calculated density   6.65 Mg/m³

a = 10.6299 Å, b = 12.3413 Å, c = 6.2775 Å
α = 90.00°, β = 124.07°, γ = 90.00°
Space group C2/c (No. 15)
Inequivalent atoms, fractional coordinates:
La 0.0000 0.1084 0.2500
Sm 0.1706 0.3998 0.9740
Sb 0.0000 0.1701 0.7500
Sb 0.0000 0.3759 0.2500



No. 3
First-principles (PBE-GGA) data for a geometry-optimized HfSc4In structure, as listed in Alexandria.

Values from the calculation:
Energy of formation   0.45 eV per atom
Total magnetic moment   0.995 μB per cell
Calculated total energy   -35.313 eV for the cell shown
Polymorph energy (0 for the lowest one)   4 kJ/mol of formula units
Calculated density   4.76 Mg/m³

a = 4.8016 Å, b = 4.8016 Å, c = 7.1624 Å
α = 90.00°, β = 90.00°, γ = 90.00°
Space group P4/mmm (No. 123)
Inequivalent atoms, fractional coordinates:
Hf 0.0000 0.0000 0.0000
Sc 0.0000 0.5000 0.2456
In 0.5000 0.5000 0.5000



No. 4
First-principles (PBE-GGA) data for a geometry-optimized CsCa2Te2 structure, as listed in Alexandria.

Values from the calculation:
Total magnetic moment   1.666 μB per cell
Calculated total energy   -33.719 eV for the cell shown
Polymorph energy (0 for the lowest one)   0 kJ/mol of formula units
Raw formation energy   -1144 meV per atom
Calculated density   3.56 Mg/m³

a = 5.1939 Å, b = 5.1939 Å, c = 16.2070 Å
α = 90.00°, β = 90.00°, γ = 90.00°
Space group I4/mmm (No. 139)
Inequivalent atoms, fractional coordinates:
Cs 0.0000 0.0000 0.0000
Ca 0.0000 0.5000 0.2500
Te 0.0000 0.0000 0.3584



No. 5
First-principles (PBE-GGA) data for a geometry-optimized RbMnPt structure, as listed in Alexandria.

Values from the calculation:
Energy of formation   0.12 eV per atom
Total magnetic moment   8.681 μB per cell
Calculated total energy   -31.635 eV for the cell shown
Polymorph energy (0 for the lowest one)   25 kJ/mol of formula units
Calculated density   5.88 Mg/m³

a = 3.6284 Å, b = 4.7865 Å, c = 11.8851 Å
α = 82.48°, β = 88.60°, γ = 67.85°
Space group P-1 (No. 2)
Inequivalent atoms, fractional coordinates:
Rb 0.1834 0.1853 0.1887
Mn 0.0767 0.3301 0.6002
Pt 0.3614 0.7697 0.5539



No. 6
First-principles (PBE-GGA) data for a geometry-optimized CaSeI2N structure, as listed in Alexandria.

Values from the calculation:
Total magnetic moment   2.220 μB per cell
Calculated total energy   -14.373 eV for the cell shown
Polymorph energy (0 for the lowest one)   166 kJ/mol of formula units
Raw formation energy   508 meV per atom
Calculated density   3.71 Mg/m³

a = 6.1165 Å, b = 6.1165 Å, c = 4.6268 Å
α = 90.00°, β = 90.00°, γ = 90.00°
Space group P4/mmm (No. 123)
Inequivalent atoms, fractional coordinates:
Ca 0.0000 0.0000 0.0000
Se 0.5000 0.5000 0.5000
I 0.0000 0.5000 0.0000
N 0.0000 0.0000 0.5000



No. 7
First-principles (PBE-GGA) data for a geometry-optimized Pm12PrSm5 structure, as listed in Alexandria.

Values from the calculation:
Energy of formation   0.10 eV per atom
Total magnetic moment   0.000 μB per cell
Calculated total energy   -167.035 eV for the cell shown
Calculated density   7.05 Mg/m³

a = 11.5246 Å, b = 17.7410 Å, c = 6.0692 Å
α = 90.00°, β = 90.01°, γ = 90.00°
Space group C2/m (No. 12)
Inequivalent atoms, fractional coordinates:
Pm 0.1694 0.0000 0.4606
Pm 0.1723 0.5000 0.0398
Pm 0.1776 0.1657 0.0550
Pm 0.1790 0.3341 0.4446
Pr 0.0000 0.5000 0.5000
Sm 0.0000 0.0000 0.0000
Sm 0.0000 0.1712 0.5000
Sm 0.0000 0.3297 0.0000



No. 8
First-principles (PBE-GGA) data for a geometry-optimized NiHSe2Br structure, as listed in Alexandria.

Values from the calculation:
Total magnetic moment   2.981 μB per cell
Calculated total energy   -14.314 eV for the cell shown
Polymorph energy (0 for the lowest one)   67 kJ/mol of formula units
Calculated density   4.34 Mg/m³

a = 4.6619 Å, b = 4.6619 Å, c = 5.2368 Å
α = 90.00°, β = 90.00°, γ = 90.00°
Space group P4/mmm (No. 123)
Inequivalent atoms, fractional coordinates:
Ni 0.0000 0.0000 0.0000
H 0.5000 0.5000 0.5000
Se 0.0000 0.5000 0.0000
Br 0.0000 0.0000 0.5000



No. 9
First-principles (PBE-GGA) data for a geometry-optimized Ag3Sn4Se8 structure, as listed in Alexandria.

Values from the calculation:
Total magnetic moment   0.000 μB per cell
Calculated total energy   -113.030 eV for the cell shown
Raw formation energy   -272 meV per atom
Calculated density   6.31 Mg/m³

a = 11.4542 Å, b = 11.4498 Å, c = 8.0686 Å
α = 90.00°, β = 134.67°, γ = 90.00°
Space group C2/m (No. 12)
Inequivalent atoms, fractional coordinates:
Ag 0.0000 0.0000 0.0000
Ag 0.2500 0.2500 0.0000
Sn 0.0000 0.5000 0.0000
Sn 0.0000 0.5000 0.5000
Sn 0.2500 0.2500 0.5000
Se 0.0000 0.2475 0.0000
Se 0.0000 0.2580 0.5000
Se 0.2389 0.5000 0.9732
Se 0.2495 0.0000 0.4934



No. 10
First-principles (PBE-GGA) data for a geometry-optimized PaHg2RhO8 structure, as listed in Alexandria.

Values from the calculation:
Total magnetic moment   0.358 μB per cell
Calculated total energy   -134.787 eV for the cell shown
Raw formation energy   -856 meV per atom
Calculated density   8.29 Mg/m³

a = 6.5516 Å, b = 6.5516 Å, c = 8.0575 Å
α = 90.00°, β = 90.00°, γ = 90.00°
Space group I-4m2 (No. 119)
Inequivalent atoms, fractional coordinates:
Pa 0.0000 0.0000 0.0000
Hg 0.0000 0.0000 0.5000
Hg 0.0000 0.5000 0.7500
Rh 0.0000 0.5000 0.2500
O 0.0000 0.2044 0.2667
O 0.0000 0.3096 0.9662



No. 11
First-principles (PBE-GGA) data for a geometry-optimized Pr3GeSe2 structure, as listed in Alexandria.

Values from the calculation:
Total magnetic moment   0.000 μB per cell
Calculated total energy   -70.968 eV for the cell shown
Raw formation energy   -1593 meV per atom
Calculated density   6.42 Mg/m³

a = 4.3173 Å, b = 6.0680 Å, c = 12.8999 Å
α = 90.00°, β = 90.00°, γ = 90.00°
Space group Immm (No. 71)
Inequivalent atoms, fractional coordinates:
Pr 0.0000 0.0000 0.0000
Pr 0.0000 0.0000 0.3389
Ge 0.0000 0.5000 0.0000
Se 0.0000 0.5000 0.3327



No. 12
First-principles (PBE-GGA) data for a geometry-optimized Ca2Si2P structure, as listed in Alexandria.

Values from the calculation:
Total magnetic moment   0.000 μB per cell
Calculated total energy   -44.033 eV for the cell shown
Polymorph energy (0 for the lowest one)   0 kJ/mol of formula units
Raw formation energy   -351 meV per atom
Calculated density   2.57 Mg/m³

a = 7.0538 Å, b = 7.0538 Å, c = 4.3403 Å
α = 90.00°, β = 90.00°, γ = 90.00°
Space group P4/mbm (No. 127)
Inequivalent atoms, fractional coordinates:
Ca 0.1796 0.3204 0.0000
Si 0.1184 0.6184 0.5000
P 0.0000 0.0000 0.5000